The following is a GGA-PBE calculation of Ce6DyTe8 after structural relaxation, from Alexandria.

a = 8.9480 Å, b = 8.9480 Å, c = 8.9480 Å
α = 60.00°, β = 60.00°, γ = 60.00°
Closest atoms and distances in Å follow each position.
Fractional positions:
Ce: 0.0000 0.0000 0.5000  6 Te 3.16
Ce: 0.0000 0.5000 0.0000  6 Te 3.16
Ce: 0.0000 0.5000 0.5000  6 Te 3.16
Ce: 0.5000 0.0000 0.0000  6 Te 3.16
Ce: 0.5000 0.0000 0.5000  6 Te 3.16
Ce: 0.5000 0.5000 0.0000  6 Te 3.16
Dy: 0.0000 0.0000 0.0000  6 Te 3.15
Te: 0.2488 0.2488 0.7512  1 Dy 3.15, 4 Ce 3.16
Te: 0.2488 0.7512 0.2488  1 Dy 3.15, 4 Ce 3.16
Te: 0.2488 0.7512 0.7512  1 Dy 3.15, 4 Ce 3.16
Te: 0.2500 0.2500 0.2500  6 Ce 3.16
Te: 0.7500 0.7500 0.7500  6 Ce 3.16
Te: 0.7512 0.2488 0.2488  1 Dy 3.15, 4 Ce 3.16
Te: 0.7512 0.2488 0.7512  1 Dy 3.15, 4 Ce 3.16
Te: 0.7512 0.7512 0.2488  1 Dy 3.15, 4 Ce 3.16

Properties
Total magnetic moment: 7.35 Bohr magnetons per cell
Formation energy without anion corrections: -133.35 kJ per mole of atoms
Density of states at the Fermi level: 2.90 states/eV per atom